[1]
The following is a GGA-PBE calculation of a relaxed structure of AcLaPmRh2, from the Alexandria database.

Lattice parameters (Å, degrees): 4.403 9.079 7.891 87.69 73.80 75.97
Sites, in units of the cell vectors:
La  0.388  0.373  0.851
La  0.612  0.627  0.149
Rh  0.184  0.713  0.920
Rh  0.344  0.884  0.429
Rh  0.816  0.287  0.080
Ac  0.178  0.275  0.368
Pm  0.087  0.042  0.783
Ac  0.822  0.725  0.632
Pm  0.913  0.958  0.217
Rh  0.656  0.116  0.571

total energy	-6.319	eV per atom
ΔE_f	-3.10	eV per formula unit
D(E_F)	2.6	states/eV/f.u.

---

[2]
The following is a GGA-PBE calculation of a relaxed structure of AcLa2PmS4, from the Alexandria database.

Lattice parameters (Å, degrees): 4.147 7.219 7.243 70.70 90.00 90.00
Sites, in units of the cell vectors:
Pm  0.000  0.500  0.500
La  0.000  0.000  0.000
S  0.000  0.754  0.740
S  0.500  0.253  0.741
S  0.000  0.246  0.260
La  0.500  0.000  0.500
Ac  0.500  0.500  0.000
S  0.500  0.747  0.259

total energy	-6.486	eV per atom
energy relative to the elements, uncorrected	-2083	meV per atom
D(E_F)	5.0	states/eV/f.u.

---

[3]
The following is a GGA-PBE calculation of a relaxed structure of Ac3LaPm2S6, from the Alexandria database.

Lattice parameters (Å, degrees): 7.246 7.246 7.283 99.58 99.58 120.08
Sites, in units of the cell vectors:
Pm  0.333  0.667  0.000
S  0.261  0.261  0.767
S  0.922  0.584  0.765
Ac  0.165  0.835  0.500
Pm  0.667  0.333  0.000
Ac  0.835  0.165  0.500
S  0.078  0.416  0.235
S  0.584  0.922  0.765
Ac  0.500  0.500  0.500
S  0.416  0.078  0.235
S  0.739  0.739  0.233
La  0.000  0.000  0.000

total energy	-6.332	eV per atom
energy relative to the elements, uncorrected	-2039	meV per atom
D(E_F)	5.9	states/eV/f.u.

---

[4]
The following is a GGA-PBE calculation of a relaxed structure of Ac2LaPmS4, from the Alexandria database.

Lattice parameters (Å, degrees): 4.172 7.272 7.318 109.20 90.00 90.00
Sites, in units of the cell vectors:
Ac  0.500  0.000  0.500
S  0.500  0.249  0.237
Pm  0.500  0.500  0.000
Ac  0.000  0.500  0.500
S  0.000  0.741  0.234
S  0.000  0.259  0.766
La  0.000  0.000  0.000
S  0.500  0.751  0.763

total energy	-6.347	eV per atom
energy relative to the elements, uncorrected	-2047	meV per atom
D(E_F)	4.9	states/eV/f.u.

---

[5]
The following is a GGA-PBE calculation of a relaxed structure of Ac3La2PmS6, from the Alexandria database.

Lattice parameters (Å, degrees): 7.287 7.287 7.311 99.60 99.60 120.07
Sites, in units of the cell vectors:
S  0.407  0.079  0.236
S  0.079  0.407  0.236
Ac  0.500  0.500  0.500
S  0.921  0.593  0.764
Ac  0.168  0.832  0.500
Pm  0.000  0.000  0.000
Ac  0.832  0.168  0.500
S  0.249  0.249  0.762
S  0.751  0.751  0.238
S  0.593  0.921  0.764
La  0.666  0.334  0.000
La  0.334  0.666  0.000

total energy	-6.371	eV per atom
energy relative to the elements, uncorrected	-2063	meV per atom
D(E_F)	6.0	states/eV/f.u.

---

[6]
The following is a GGA-PBE calculation of a relaxed structure of AcLa3Pm2S6, from the Alexandria database.

Lattice parameters (Å, degrees): 7.183 7.183 7.167 99.66 99.66 120.07
Sites, in units of the cell vectors:
S  0.917  0.574  0.751
La  0.500  0.500  0.500
S  0.426  0.083  0.249
S  0.739  0.739  0.245
Pm  0.333  0.667  0.000
Ac  0.000  0.000  0.000
S  0.574  0.917  0.751
S  0.261  0.261  0.755
La  0.836  0.164  0.500
S  0.083  0.426  0.249
La  0.164  0.836  0.500
Pm  0.667  0.333  0.000

total energy	-6.523	eV per atom
energy relative to the elements, uncorrected	-2093	meV per atom
D(E_F)	5.7	states/eV/f.u.